Computed, not measured: a crystal of K2CaMg relaxed with PBEsol at the meta-GGA SCAN level of DFT.

a b c (Å): 7.4012 7.4012 7.4012
angles (deg): 138.39 138.39 60.30
Last column: nearest neighbours and their distance in Å.
Element x y z (fractional)
K: 0.2500 0.7500 0.5000  4 K 3.72, 4 Mg 4.14, 4 Ca 4.14
K: 0.7500 0.2500 0.5000  4 K 3.72, 4 Mg 4.14, 4 Ca 4.14
Ca: 0.0000 0.0000 0.0000  4 Mg 3.72, 8 K 4.14
Mg: 0.5000 0.5000 0.0000  4 Ca 3.72, 8 K 4.14

Computed properties:
As for the symmetry: No. 139. As for the energy: -30.4 eV for the cell shown.

=====

Computed, not measured: a crystal of NiIrPt relaxed with PBEsol at the meta-GGA SCAN level of DFT.

a b c (Å): 5.7679 5.7679 5.7679
angles (deg): 152.97 152.97 38.60
Last column: nearest neighbours and their distance in Å.
Element x y z (fractional)
Ni: 0.0000 0.0000 0.0000  4 Ir 2.54, 4 Pt 2.62, 4 Ni 2.70
Ir: 0.3465 0.3465 0.0000  4 Ni 2.54, 4 Ir 2.70, 4 Pt 2.74
Pt: 0.6652 0.6652 0.0000  4 Ni 2.62, 4 Pt 2.70, 4 Ir 2.74

Computed properties:
As for the symmetry: No. 107. As for the energy: -157.4 eV for the cell shown.

=====

Computed, not measured: a crystal of SrSbOs4 relaxed with PBEsol at the meta-GGA SCAN level of DFT.

a b c (Å): 5.3291 5.3291 5.3291
angles (deg): 60.00 60.00 60.00
Last column: nearest neighbours and their distance in Å.
Element x y z (fractional)
Sr: 0.0000 0.0000 0.0000  12 Os 3.13, 4 Sb 3.26
Sb: 0.2500 0.2500 0.2500  12 Os 3.12, 4 Sr 3.26
Os: 0.1267 0.6244 0.6244  6 Os 2.65-2.68
Os: 0.6244 0.1267 0.6244  6 Os 2.65-2.68
Os: 0.6244 0.6244 0.1267  6 Os 2.65-2.68
Os: 0.6244 0.6244 0.6244  6 Os 2.65-2.68

Computed properties:
As for the symmetry: No. 216. For the uncorrected formation energy, the calculation gives 0.657 eV/atom. As for the energy: -343.1 eV for the cell shown.

=====

Computed, not measured: a crystal of Ti2NbGaI relaxed with PBEsol at the meta-GGA SCAN level of DFT.

a b c (Å): 4.8133 4.8133 5.3274
angles (deg): 90.00 90.00 90.00
Last column: nearest neighbours and their distance in Å.
Element x y z (fractional)
Ti: 0.0000 0.5000 0.0000  2 Nb 2.41
Ti: 0.5000 0.0000 0.0000  2 Nb 2.41
Nb: 0.0000 0.0000 0.0000  4 Ti 2.41, 2 I 2.66
Ga: 0.5000 0.5000 0.5000  4 I 3.40, 8 Ti 3.59
I: 0.0000 0.0000 0.5000  2 Nb 2.66

Computed properties:
As for the symmetry: No. 123. For the uncorrected formation energy, the calculation gives 1.097 eV/atom. As for the energy: -112.8 eV for the cell shown.